# 1
VASP calculation (PBE) on crystalline SmTiBi2 at its relaxed geometry.

## Properties
Total magnetization, Bohr magnetons per cell: 1.4
Total DFT energy (no corrections), eV/atom: -5.375
SG: P4/mmm (123)

Cell lengths 3.6245, 3.6245, 7.9942 Å; angles 90.00, 90.00, 90.00 degrees
Last column: nearest neighbours and their distance in Å.
Atoms (fractional coordinates):
Sm (0.0000, 0.0000, 0.0000)  8 Bi 3.41, 4 Sm 3.62
Ti (0.0000, 0.0000, 0.5000)  8 Bi 3.10
Bi (0.5000, 0.5000, 0.2823)  4 Ti 3.10, 4 Sm 3.41
Bi (0.5000, 0.5000, 0.7177)  4 Ti 3.10, 4 Sm 3.41

# 2
VASP calculation (PBE) on crystalline SmTiBi2 at its relaxed geometry.

## Properties
Total magnetization, Bohr magnetons per cell: 0.0
Total DFT energy (no corrections), eV/atom: -5.063
SG: R-3m (166)

Cell lengths 11.1503, 11.1503, 11.1503 Å; angles 17.91, 17.91, 17.91 degrees
Last column: nearest neighbours and their distance in Å.
Atoms (fractional coordinates):
Sm (0.0000, 0.0000, 0.0000)  2 Bi 3.28, 6 Sm 3.47
Ti (0.5000, 0.5000, 0.5000)  6 Bi 2.98
Bi (0.0996, 0.0996, 0.0996)  3 Ti 2.98, 1 Sm 3.28
Bi (0.9004, 0.9004, 0.9004)  3 Ti 2.98, 1 Sm 3.28

# 3
VASP calculation (PBE) on crystalline Sm10Tl3Bi3 at its relaxed geometry.

## Properties
Total magnetization, Bohr magnetons per cell: 0.0
Total DFT energy (no corrections), eV/atom: -4.657
SG: P-62m (189)

Cell lengths 9.2717, 9.2717, 6.7649 Å; angles 90.00, 90.00, 120.00 degrees
Last column: nearest neighbours and their distance in Å.
Atoms (fractional coordinates):
Sm (0.0000, 0.2376, 0.0000)  3 Bi 3.19-3.42
Sm (0.0000, 0.7632, 0.5000)  3 Tl 3.19-3.41
Sm (0.2368, 0.2368, 0.5000)  3 Tl 3.19-3.41
Sm (0.2376, 0.0000, 0.0000)  3 Bi 3.19-3.42
Sm (0.3333, 0.6667, 0.2541)  3 Tl 3.30, 2 Sm 3.33-3.44, 3 Bi 3.33
Sm (0.3333, 0.6667, 0.7459)  3 Tl 3.30, 2 Sm 3.33-3.44, 3 Bi 3.33
Sm (0.6667, 0.3333, 0.2541)  3 Tl 3.30, 2 Sm 3.33-3.44, 3 Bi 3.33
Sm (0.6667, 0.3333, 0.7459)  3 Tl 3.30, 2 Sm 3.33-3.44, 3 Bi 3.33
Sm (0.7624, 0.7624, 0.0000)  3 Bi 3.19-3.42
Sm (0.7632, 0.0000, 0.5000)  3 Tl 3.19-3.41
Tl (0.0000, 0.3951, 0.5000)  7 Sm 3.19-3.41
Tl (0.3951, 0.0000, 0.5000)  7 Sm 3.19-3.41
Tl (0.6049, 0.6049, 0.5000)  7 Sm 3.19-3.41
Bi (0.0000, 0.6061, 0.0000)  7 Sm 3.19-3.42
Bi (0.3939, 0.3939, 0.0000)  7 Sm 3.19-3.42
Bi (0.6061, 0.0000, 0.0000)  7 Sm 3.19-3.42

# 4
VASP calculation (PBE) on crystalline Sm6Tl6Bi at its relaxed geometry.

## Properties
Total magnetization, Bohr magnetons per cell: 0.0
Total DFT energy (no corrections), eV/atom: -3.845
SG: P6/mmm (191)

Cell lengths 6.6165, 6.6165, 10.6037 Å; angles 90.00, 90.00, 120.00 degrees
Last column: nearest neighbours and their distance in Å.
Atoms (fractional coordinates):
Sm (0.0000, 0.0000, 0.2031)  1 Bi 3.15, 6 Tl 3.34
Sm (0.0000, 0.0000, 0.7969)  1 Bi 3.15, 6 Tl 3.34
Sm (0.3333, 0.6667, 0.0000)  6 Tl 3.24
Sm (0.3333, 0.6667, 0.5000)  6 Tl 3.30
Sm (0.6667, 0.3333, 0.0000)  6 Tl 3.24
Sm (0.6667, 0.3333, 0.5000)  6 Tl 3.30
Tl (0.0000, 0.5000, 0.2464)  6 Sm 3.24-3.34, 4 Tl 3.31
Tl (0.0000, 0.5000, 0.7536)  6 Sm 3.24-3.34, 4 Tl 3.31
Tl (0.5000, 0.0000, 0.2464)  6 Sm 3.24-3.34, 4 Tl 3.31
Tl (0.5000, 0.0000, 0.7536)  6 Sm 3.24-3.34, 4 Tl 3.31
Tl (0.5000, 0.5000, 0.2464)  6 Sm 3.24-3.34, 4 Tl 3.31
Tl (0.5000, 0.5000, 0.7536)  6 Sm 3.24-3.34, 4 Tl 3.31
Bi (0.0000, 0.0000, 0.5000)  2 Sm 3.15

# 5
VASP calculation (PBE) on crystalline Sm4TlBi3 at its relaxed geometry.

## Properties
Total magnetization, Bohr magnetons per cell: 0.0
Total DFT energy (no corrections), eV/atom: -4.819
SG: Pm-3m (221)

Cell lengths 6.4260, 6.4260, 6.4260 Å; angles 90.00, 90.00, 90.00 degrees
Last column: nearest neighbours and their distance in Å.
Atoms (fractional coordinates):
Sm (0.0000, 0.0000, 0.0000)  6 Bi 3.21
Sm (0.0000, 0.5000, 0.5000)  2 Tl 3.21, 4 Bi 3.21
Sm (0.5000, 0.0000, 0.5000)  2 Tl 3.21, 4 Bi 3.21
Sm (0.5000, 0.5000, 0.0000)  2 Tl 3.21, 4 Bi 3.21
Tl (0.5000, 0.5000, 0.5000)  6 Sm 3.21
Bi (0.0000, 0.0000, 0.5000)  6 Sm 3.21
Bi (0.0000, 0.5000, 0.0000)  6 Sm 3.21
Bi (0.5000, 0.0000, 0.0000)  6 Sm 3.21

# 6
VASP calculation (PBE) on crystalline Sm3TlBi2 at its relaxed geometry.

## Properties
Total magnetization, Bohr magnetons per cell: 0.0
Total DFT energy (no corrections), eV/atom: -4.690
SG: Immm (71)

Cell lengths 7.9759, 7.9759, 7.9759 Å; angles 147.56, 132.66, 58.56 degrees
Last column: nearest neighbours and their distance in Å.
Atoms (fractional coordinates):
Sm (0.0000, 0.0000, 0.0000)  2 Tl 3.20, 4 Bi 3.21
Sm (0.3279, 0.3279, 0.0000)  4 Bi 3.17-3.20, 2 Tl 3.27
Sm (0.6721, 0.6721, 0.0000)  4 Bi 3.17-3.20, 2 Tl 3.27
Tl (0.5000, 0.0000, 0.5000)  6 Sm 3.20-3.27
Bi (0.1656, 0.6656, 0.5000)  6 Sm 3.17-3.21
Bi (0.8344, 0.3344, 0.5000)  6 Sm 3.17-3.21

# 7
VASP calculation (PBE) on crystalline SmTl2Bi at its relaxed geometry.

## Properties
Total magnetization, Bohr magnetons per cell: 0.0
Total DFT energy (no corrections), eV/atom: -3.242
SG: R-3m (166)

Cell lengths 12.3032, 12.3032, 12.3032 Å; angles 16.58, 16.58, 16.58 degrees
Last column: nearest neighbours and their distance in Å.
Atoms (fractional coordinates):
Sm (0.0000, 0.0000, 0.0000)  2 Tl 3.24, 6 Sm 3.55
Tl (0.0889, 0.0889, 0.0889)  1 Sm 3.24, 3 Bi 3.49, 6 Tl 3.55
Tl (0.9111, 0.9111, 0.9111)  1 Sm 3.24, 3 Bi 3.49, 6 Tl 3.55
Bi (0.5000, 0.5000, 0.5000)  6 Tl 3.49, 6 Bi 3.55

# 8
VASP calculation (PBE) on crystalline Sm5Tl2Bi2 at its relaxed geometry.

## Properties
Total magnetization, Bohr magnetons per cell: 0.0
Total DFT energy (no corrections), eV/atom: -4.624
SG: Cmce (64)

Cell lengths 9.0860, 9.0860, 8.3876 Å; angles 90.00, 90.00, 55.06 degrees
Last column: nearest neighbours and their distance in Å.
Atoms (fractional coordinates):
Sm (0.0000, 0.0000, 0.0000)  4 Tl 3.29, 2 Bi 3.30
Sm (0.0352, 0.6939, 0.6669)  3 Tl 3.23-3.36, 3 Bi 3.27-3.33
Sm (0.1939, 0.5352, 0.1669)  3 Tl 3.23-3.36, 3 Bi 3.27-3.33
Sm (0.3061, 0.9648, 0.6669)  3 Tl 3.23-3.36, 3 Bi 3.27-3.33
Sm (0.4648, 0.8061, 0.1669)  3 Tl 3.23-3.36, 3 Bi 3.27-3.33
Sm (0.5000, 0.5000, 0.5000)  4 Tl 3.29, 2 Bi 3.30
Sm (0.5352, 0.1939, 0.8331)  3 Tl 3.23-3.36, 3 Bi 3.27-3.33
Sm (0.6939, 0.0352, 0.3331)  3 Tl 3.23-3.36, 3 Bi 3.27-3.33
Sm (0.8061, 0.4648, 0.8331)  3 Tl 3.23-3.36, 3 Bi 3.27-3.33
Sm (0.9648, 0.3061, 0.3331)  3 Tl 3.23-3.36, 3 Bi 3.27-3.33
Tl (0.1309, 0.8691, 0.3702)  1 Tl 3.09, 8 Sm 3.23-3.36
Tl (0.3691, 0.6309, 0.8702)  1 Tl 3.09, 8 Sm 3.23-3.36
Tl (0.6309, 0.3691, 0.1298)  1 Tl 3.09, 8 Sm 3.23-3.36
Tl (0.8691, 0.1309, 0.6298)  1 Tl 3.09, 8 Sm 3.23-3.36
Bi (0.2045, 0.2045, 0.0000)  7 Sm 3.27-3.33
Bi (0.2955, 0.2955, 0.5000)  7 Sm 3.27-3.33
Bi (0.7045, 0.7045, 0.5000)  7 Sm 3.27-3.33
Bi (0.7955, 0.7955, 0.0000)  7 Sm 3.27-3.33

# 9
VASP calculation (PBE) on crystalline Sm4TlBi5 at its relaxed geometry.

## Properties
Total magnetization, Bohr magnetons per cell: 0.0
Total DFT energy (no corrections), eV/atom: -4.705
SG: Immm (71)

Cell lengths 8.7817, 8.7817, 8.7817 Å; angles 150.52, 98.25, 89.20 degrees
Last column: nearest neighbours and their distance in Å.
Atoms (fractional coordinates):
Sm (0.2090, 0.5000, 0.7090)  6 Bi 3.28-3.31, 1 Tl 3.35
Sm (0.2458, 0.2458, 0.0000)  5 Bi 3.07-3.22, 1 Tl 3.18
Sm (0.7542, 0.7542, 0.0000)  5 Bi 3.07-3.22, 1 Tl 3.18
Sm (0.7910, 0.5000, 0.2910)  6 Bi 3.28-3.31, 1 Tl 3.35
Tl (0.5000, 0.5000, 0.0000)  4 Sm 3.18-3.35
Bi (0.0000, 0.0000, 0.0000)  6 Sm 3.07-3.28
Bi (0.1597, 0.8360, 0.3237)  4 Sm 3.22-3.31, 2 Bi 3.53
Bi (0.4877, 0.1640, 0.3237)  4 Sm 3.22-3.31, 2 Bi 3.53
Bi (0.5123, 0.8360, 0.6763)  4 Sm 3.22-3.31, 2 Bi 3.53
Bi (0.8403, 0.1640, 0.6763)  4 Sm 3.22-3.31, 2 Bi 3.53

# 10
VASP calculation (PBE) on crystalline SmTlBi at its relaxed geometry.

## Properties
Total magnetization, Bohr magnetons per cell: 0.0
Total DFT energy (no corrections), eV/atom: -3.945
SG: P3m1 (156)

Cell lengths 5.4634, 5.4634, 3.5338 Å; angles 90.00, 90.00, 120.00 degrees
Last column: nearest neighbours and their distance in Å.
Atoms (fractional coordinates):
Sm (0.0000, 0.0000, 0.0000)  6 Tl 3.45-3.81, 6 Bi 3.48-3.77, 2 Sm 3.53
Tl (0.3333, 0.6667, 0.3958)  3 Bi 3.22, 3 Sm 3.45, 2 Tl 3.53
Bi (0.6667, 0.3333, 0.5824)  3 Tl 3.22, 3 Sm 3.48, 2 Bi 3.53

# 11
VASP calculation (PBE) on crystalline Sm6Tl3Bi at its relaxed geometry.

## Properties
Total magnetization, Bohr magnetons per cell: 0.0
Total DFT energy (no corrections), eV/atom: -4.216
SG: Cmc2_1 (36)

Cell lengths 10.2332, 10.2332, 6.9789 Å; angles 90.00, 90.00, 120.39 degrees
Last column: nearest neighbours and their distance in Å.
Atoms (fractional coordinates):
Sm (0.0125, 0.9875, 0.5000)  2 Bi 3.19-3.31, 4 Tl 3.28-3.38, 2 Sm 3.52
Sm (0.0829, 0.5421, 0.0209)  3 Tl 3.15-3.33, 1 Bi 3.27, 1 Sm 3.40
Sm (0.2481, 0.3639, 0.2847)  4 Tl 3.19-3.41, 1 Bi 3.54, 1 Sm 3.56
Sm (0.2978, 0.7022, 0.5038)  1 Bi 3.22, 4 Sm 3.40-3.58, 1 Tl 3.48
Sm (0.3639, 0.2481, 0.7847)  4 Tl 3.19-3.41, 1 Bi 3.54, 1 Sm 3.56
Sm (0.4579, 0.9171, 0.0209)  3 Tl 3.15-3.33, 1 Bi 3.27, 1 Sm 3.40
Sm (0.5421, 0.0829, 0.5209)  3 Tl 3.15-3.33, 1 Bi 3.27, 1 Sm 3.40
Sm (0.6361, 0.7519, 0.2847)  4 Tl 3.19-3.41, 1 Bi 3.54, 1 Sm 3.56
Sm (0.7022, 0.2978, 0.0038)  1 Bi 3.22, 4 Sm 3.40-3.58, 1 Tl 3.48
Sm (0.7519, 0.6361, 0.7847)  4 Tl 3.19-3.41, 1 Bi 3.54, 1 Sm 3.56
Sm (0.9171, 0.4579, 0.5209)  3 Tl 3.15-3.33, 1 Bi 3.27, 1 Sm 3.40
Sm (0.9875, 0.0125, 0.0000)  2 Bi 3.19-3.31, 4 Tl 3.28-3.38, 2 Sm 3.52
Tl (0.0903, 0.3105, 0.7292)  6 Sm 3.15-3.41, 1 Tl 3.31
Tl (0.3105, 0.0903, 0.2292)  6 Sm 3.15-3.41, 1 Tl 3.31
Tl (0.4167, 0.5833, 0.9005)  7 Sm 3.29-3.48, 2 Tl 3.31
Tl (0.5833, 0.4167, 0.4005)  7 Sm 3.29-3.48, 2 Tl 3.31
Tl (0.6895, 0.9097, 0.7292)  6 Sm 3.15-3.41, 1 Tl 3.31
Tl (0.9097, 0.6895, 0.2292)  6 Sm 3.15-3.41, 1 Tl 3.31
Bi (0.1533, 0.8467, 0.7834)  7 Sm 3.19-3.54
Bi (0.8467, 0.1533, 0.2834)  7 Sm 3.19-3.54

# 12
VASP calculation (PBE) on crystalline Sm7Tl5Bi at its relaxed geometry.

## Properties
Total magnetization, Bohr magnetons per cell: 0.0
Total DFT energy (no corrections), eV/atom: -3.981
SG: Imm2 (44)

Cell lengths 8.5089, 8.5089, 8.5089 Å; angles 134.74, 96.49, 100.54 degrees
Last column: nearest neighbours and their distance in Å.
Atoms (fractional coordinates):
Sm (0.0000, 0.0000, 0.0000)  1 Bi 3.49, 4 Tl 3.62, 4 Sm 3.76-3.89
Sm (0.2767, 0.6002, 0.6765)  5 Tl 3.20-3.31, 1 Sm 3.56
Sm (0.3834, 0.3834, 0.0000)  1 Bi 3.22, 6 Tl 3.33-3.37
Sm (0.4144, 0.0802, 0.3342)  5 Tl 3.22-3.42, 1 Sm 3.30
Sm (0.7460, 0.0802, 0.6658)  5 Tl 3.22-3.42, 1 Sm 3.30
Sm (0.8298, 0.3298, 0.5000)  4 Tl 3.20, 4 Sm 3.30-3.56
Sm (0.9238, 0.6002, 0.3235)  5 Tl 3.20-3.31, 1 Sm 3.56
Tl (0.0874, 0.0957, 0.4937)  6 Sm 3.20-3.42, 3 Tl 3.26-3.35
Tl (0.0874, 0.5936, 0.9917)  6 Sm 3.20-3.42, 3 Tl 3.26-3.35
Tl (0.3299, 0.8299, 0.5000)  6 Sm 3.20-3.33, 4 Tl 3.35
Tl (0.6020, 0.0957, 0.0083)  6 Sm 3.20-3.42, 3 Tl 3.26-3.35
Tl (0.6020, 0.5936, 0.5063)  6 Sm 3.20-3.42, 3 Tl 3.26-3.35
Bi (0.6795, 0.6795, 0.0000)  2 Sm 3.22-3.49